Computed, not measured: an optimized crystal structure of ScBe2Al at the PBE level of DFT.

```
ScBe2Al
1.0
-1.719 1.137 -2.112
-0.866 -2.717 -0.758
-4.780 0.381 4.096
Be Al Sc
2 1 1
Cartesian
-4.580 0.365 3.924
-2.591 0.206 2.220
-4.877 -0.504 1.637
-2.487 -0.695 -0.411
```

* E_tot: -17.429 eV per cell
* formation enthalpy at 0 K: 0.024 eV per atom
* total magnetic moment: 0.24 μB per cell
* Fermi-level density of states: 1.86 states/eV/f.u.
* ρ: 2721 kg/m3